Record 1
The following is a GGA-PBE calculation of a geometry-optimized PmMg2Rh structure, from the Alexandria database.

Summary:
- ΔE_f (eV/atom) = 0.04
- V (Å³ per atom) = 22.36
- total DFT energy (no corrections) (eV per atom) = -3.79
- DOS(E_F) (states/eV/f.u.) = 2.982
- offset from the most stable computed form (meV per atom) = 502

The structure in CIF format:
```
data_PmMg2Rh
_chemical_formula_sum 'Pm3 Mg6 Rh3'
_cell_length_a 3.1471
_cell_length_b 3.1471
_cell_length_c 31.2855
_cell_angle_alpha 90.00
_cell_angle_beta 90.00
_cell_angle_gamma 120.00
_symmetry_space_group_name_H-M 'R -3 m'
_symmetry_Int_Tables_number 166
_symmetry_space_group_name_Hall '-R 3 2"'
loop_
_atom_site_label
_atom_site_fract_x
_atom_site_fract_y
_atom_site_fract_z
Pm1 0.0000 0.0000 0.0000
Mg1 0.0000 0.0000 0.1040
Rh1 0.0000 0.0000 0.5000
```

Record 2
The following is a GGA-PBE calculation of a geometry-optimized Pm4MgRh3 structure, from the Alexandria database.

Summary:
- ΔE_f (eV/atom) = -0.59
- V (Å³ per atom) = 22.88
- total DFT energy (no corrections) (eV per atom) = -5.92
- DOS(E_F) (states/eV/f.u.) = 3.698

The structure in CIF format:
```
data_Pm4MgRh3
_chemical_formula_sum 'Pm16 Mg4 Rh12'
_cell_length_a 11.081
_cell_length_b 11.081
_cell_length_c 5.963
_cell_angle_alpha 90.00
_cell_angle_beta 90.00
_cell_angle_gamma 90.00
_symmetry_space_group_name_H-M 'I 4/m c m'
_symmetry_Int_Tables_number 140
_symmetry_space_group_name_Hall '-I 4 2c'
loop_
_atom_site_label
_atom_site_fract_x
_atom_site_fract_y
_atom_site_fract_z
Pm1 0.081 0.219 0.000
Mg1 0.000 0.500 0.250
Rh1 0.000 0.000 0.250
Rh2 0.157 0.343 0.500
```

Record 3
The following is a GGA-PBE calculation of a geometry-optimized Pm6Mg2Rh structure, from the Alexandria database.

Summary:
- ΔE_f (eV/atom) = -0.06
- V (Å³ per atom) = 30.43
- total DFT energy (no corrections) (eV per atom) = -4.40
- DOS(E_F) (states/eV/f.u.) = 8.531

The structure in CIF format:
```
data_Pm6Mg2Rh
_chemical_formula_sum 'Pm6 Mg2 Rh1'
_cell_length_a 6.935
_cell_length_b 5.016
_cell_length_c 8.601
_cell_angle_alpha 90.00
_cell_angle_beta 113.75
_cell_angle_gamma 90.00
_symmetry_space_group_name_H-M 'P 1 2/m 1'
_symmetry_Int_Tables_number 10
_symmetry_space_group_name_Hall '-P 2y'
loop_
_atom_site_label
_atom_site_fract_x
_atom_site_fract_y
_atom_site_fract_z
Pm1 0.102 0.000 0.204
Pm2 0.243 0.500 0.500
Pm3 0.397 0.000 0.796
Mg1 0.255 0.500 0.007
Rh1 0.000 0.000 0.500
```

Record 4
The following is a GGA-PBE calculation of a geometry-optimized Pm6MgRh2 structure, from the Alexandria database.

Summary:
- ΔE_f (eV/atom) = -0.40
- V (Å³ per atom) = 28.33
- total DFT energy (no corrections) (eV per atom) = -5.37
- DOS(E_F) (states/eV/f.u.) = 8.714
- offset from the most stable computed form (meV per atom) = 0

The structure in CIF format:
```
data_Pm6MgRh2
_chemical_formula_sum 'Pm24 Mg4 Rh8'
_cell_length_a 9.643
_cell_length_b 9.870
_cell_length_c 10.718
_cell_angle_alpha 90.00
_cell_angle_beta 90.00
_cell_angle_gamma 90.00
_symmetry_space_group_name_H-M 'I m m m'
_symmetry_Int_Tables_number 71
_symmetry_space_group_name_Hall '-I 2 2'
loop_
_atom_site_label
_atom_site_fract_x
_atom_site_fract_y
_atom_site_fract_z
Pm1 0.000 0.200 0.235
Pm2 0.191 0.500 0.175
Pm3 0.211 0.319 0.500
Mg1 0.000 0.000 0.000
Mg2 0.000 0.000 0.500
Rh1 0.000 0.325 0.000
Rh2 0.000 0.500 0.369
```

Record 5
The following is a GGA-PBE calculation of a geometry-optimized PmMg3Rh structure, from the Alexandria database.

Summary:
- ΔE_f (eV/atom) = -0.25
- V (Å³ per atom) = 23.94
- total DFT energy (no corrections) (eV per atom) = -3.63
- DOS(E_F) (states/eV/f.u.) = 2.926
- offset from the most stable computed form (meV per atom) = 105

The structure in CIF format:
```
data_PmMg3Rh
_chemical_formula_sum 'Pm2 Mg6 Rh2'
_cell_length_a 4.665
_cell_length_b 4.666
_cell_length_c 10.998
_cell_angle_alpha 90.00
_cell_angle_beta 90.00
_cell_angle_gamma 90.00
_symmetry_space_group_name_H-M 'A m m 2'
_symmetry_Int_Tables_number 38
_symmetry_space_group_name_Hall 'A 2 -2'
loop_
_atom_site_label
_atom_site_fract_x
_atom_site_fract_y
_atom_site_fract_z
Pm1 0.000 0.000 0.000
Mg1 0.000 0.000 0.713
Mg2 0.500 0.000 0.227
Mg3 0.500 0.000 0.495
Rh1 0.000 0.000 0.351
```

Record 6
The following is a GGA-PBE calculation of a geometry-optimized Pm4Mg3Rh structure, from the Alexandria database.

Summary:
- ΔE_f (eV/atom) = -0.25
- V (Å³ per atom) = 26.93
- total DFT energy (no corrections) (eV per atom) = -4.14
- DOS(E_F) (states/eV/f.u.) = 5.876

The structure in CIF format:
```
data_Pm4Mg3Rh
_chemical_formula_sum 'Pm4 Mg3 Rh1'
_cell_length_a 3.729
_cell_length_b 3.729
_cell_length_c 15.488
_cell_angle_alpha 90.00
_cell_angle_beta 90.00
_cell_angle_gamma 90.00
_symmetry_space_group_name_H-M 'P 4/m m m'
_symmetry_Int_Tables_number 123
_symmetry_space_group_name_Hall '-P 4 2'
loop_
_atom_site_label
_atom_site_fract_x
_atom_site_fract_y
_atom_site_fract_z
Pm1 0.000 0.000 0.104
Pm2 0.000 0.000 0.372
Mg1 0.500 0.500 0.241
Mg2 0.500 0.500 0.500
Rh1 0.500 0.500 0.000
```

Record 7
The following is a GGA-PBE calculation of a geometry-optimized PmMg3Rh structure, from the Alexandria database.

Summary:
- ΔE_f (eV/atom) = -0.36
- V (Å³ per atom) = 22.76
- total DFT energy (no corrections) (eV per atom) = -3.74
- DOS(E_F) (states/eV/f.u.) = 2.659
- offset from the most stable computed form (meV per atom) = 0

The structure in CIF format:
```
data_PmMg3Rh
_chemical_formula_sum 'Pm2 Mg6 Rh2'
_cell_length_a 5.495
_cell_length_b 5.920
_cell_length_c 7.359
_cell_angle_alpha 90.00
_cell_angle_beta 108.07
_cell_angle_gamma 90.00
_symmetry_space_group_name_H-M 'P 1 21/m 1'
_symmetry_Int_Tables_number 11
_symmetry_space_group_name_Hall '-P 2yb'
loop_
_atom_site_label
_atom_site_fract_x
_atom_site_fract_y
_atom_site_fract_z
Pm1 0.098 0.250 0.398
Mg1 0.029 0.250 0.886
Mg2 0.494 0.501 0.205
Rh1 0.335 0.750 0.469
```

Record 8
The following is a GGA-PBE calculation of a geometry-optimized Pm2Mg2Rh structure, from the Alexandria database.

Summary:
- ΔE_f (eV/atom) = -0.18
- V (Å³ per atom) = 24.95
- total DFT energy (no corrections) (eV per atom) = -4.19
- DOS(E_F) (states/eV/f.u.) = 3.610
- offset from the most stable computed form (meV per atom) = 143

The structure in CIF format:
```
data_Pm2Mg2Rh
_chemical_formula_sum 'Pm4 Mg4 Rh2'
_cell_length_a 4.867
_cell_length_b 5.237
_cell_length_c 9.786
_cell_angle_alpha 90.00
_cell_angle_beta 90.00
_cell_angle_gamma 90.00
_symmetry_space_group_name_H-M 'I m m m'
_symmetry_Int_Tables_number 71
_symmetry_space_group_name_Hall '-I 2 2'
loop_
_atom_site_label
_atom_site_fract_x
_atom_site_fract_y
_atom_site_fract_z
Pm1 0.000 0.000 0.184
Mg1 0.000 0.245 0.500
Rh1 0.000 0.500 0.000
```